# Sc3CdHg4

Crystalline Sc3CdHg4 at its relaxed geometry (PBE, the Alexandria database).

The calculation puts the mass density at 9.2 g/cm3. For the density of states at the Fermi level, the calculation gives 0.696 states/eV/atom. Its energy relative to the elements is -0.221 eV per atom. Its calculated total energy is -45.77 eV for the cell shown.

It has space group Immm (No. 71), with a = 3.339 Å, b = 6.636 Å, c = 17.045 Å, α = 90.00°, β = 90.00° and γ = 90.00°. The asymmetric unit holds Sc at (0.000, 0.000, 0.000), Sc at (0.000, 0.500, 0.224), Cd at (0.000, 0.000, 0.500) and Hg at (0.000, 0.277, 0.372).